# IrRuRh2

A relaxed IrRuRh2 crystal (GGA-PBEsol, the Alexandria database).

Computed properties:
calculated formation energy = 0.009 eV per atom

a = 8.9007 Å, b = 8.9007 Å, c = 8.9007 Å
α = 17.28°, β = 17.28°, γ = 17.28°
With the nearest neighbours (Å) after each atom.
Positions (direct):
Ir 0.0000 0.0000 0.0000  6 Ir 2.67, 6 Rh 2.71
Ru 0.5000 0.5000 0.5000  6 Rh 2.65, 6 Ru 2.67
Rh 0.2487 0.2487 0.2487  3 Ru 2.65, 6 Rh 2.67, 3 Ir 2.71
Rh 0.7513 0.7513 0.7513  3 Ru 2.65, 6 Rh 2.67, 3 Ir 2.71

---

# NbAs2Au

A relaxed NbAs2Au crystal (GGA-PBEsol, the Alexandria database).

Computed properties:
calculated formation energy = 0.125 eV per atom

a = 4.5915 Å, b = 4.5915 Å, c = 4.5915 Å
α = 60.00°, β = 60.00°, γ = 60.00°
With the nearest neighbours (Å) after each atom.
Positions (direct):
Nb 0.0000 0.0000 0.0000  8 As 2.81
As 0.2500 0.2500 0.2500  4 Au 2.81, 4 Nb 2.81
As 0.7500 0.7500 0.7500  4 Nb 2.81, 4 Au 2.81
Au 0.5000 0.5000 0.5000  8 As 2.81

---

# KRb2AlCl6

A relaxed KRb2AlCl6 crystal (GGA-PBEsol, the Alexandria database).

a = 7.3895 Å, b = 7.3895 Å, c = 7.3895 Å
α = 60.00°, β = 60.00°, γ = 60.00°
With the nearest neighbours (Å) after each atom.
Positions (direct):
K 0.0000 0.0000 0.0000  6 Cl 2.91
Rb 0.2500 0.2500 0.2500  12 Cl 3.71
Rb 0.7500 0.7500 0.7500  12 Cl 3.71
Al 0.5000 0.5000 0.5000  6 Cl 2.32
Cl 0.2781 0.2781 0.7219  1 Al 2.32
Cl 0.2781 0.7219 0.2781  1 Al 2.32
Cl 0.2781 0.7219 0.7219  1 Al 2.32
Cl 0.7219 0.2781 0.2781  1 Al 2.32
Cl 0.7219 0.2781 0.7219  1 Al 2.32
Cl 0.7219 0.7219 0.2781  1 Al 2.32

---

# LiLaSb

A relaxed LiLaSb crystal (GGA-PBEsol, the Alexandria database).

a = 6.1032 Å, b = 6.1032 Å, c = 6.1032 Å
α = 144.35°, β = 144.35°, γ = 51.31°
With the nearest neighbours (Å) after each atom.
Positions (direct):
Li 0.0000 0.0000 0.0000  4 Sb 2.86
La 0.2918 0.2918 0.0000  5 Li 3.21-3.50, 5 Sb 3.38-3.39
Sb 0.5990 0.5990 0.0000  4 Li 2.86

---

# BiMo3H

A relaxed BiMo3H crystal (GGA-PBEsol, the Alexandria database).

a = 5.0112 Å, b = 5.0112 Å, c = 5.0112 Å
α = 90.00°, β = 90.00°, γ = 90.00°
With the nearest neighbours (Å) after each atom.
Positions (direct):
Bi 0.0000 0.0000 0.0000  6 Mo 2.51
Mo 0.0000 0.0000 0.5000  2 Bi 2.51
Mo 0.0000 0.5000 0.0000  2 Bi 2.51
Mo 0.5000 0.0000 0.0000  2 Bi 2.51
H 0.5000 0.5000 0.5000  12 Mo 3.54

---

# PbCN2

A relaxed PbCN2 crystal (GGA-PBEsol, the Alexandria database).

a = 5.5285 Å, b = 3.8117 Å, c = 11.8247 Å
α = 90.00°, β = 90.00°, γ = 90.00°
With the nearest neighbours (Å) after each atom.
Positions (direct):
Pb 0.1097 0.2500 0.1363  5 N 2.36-2.63
Pb 0.3903 0.7500 0.6363  5 N 2.36-2.63
Pb 0.6097 0.2500 0.3637  5 N 2.36-2.63
Pb 0.8903 0.7500 0.8637  5 N 2.36-2.63
C 0.1171 0.7500 0.3983  2 N 1.22-1.25
C 0.3829 0.2500 0.8983  2 N 1.22-1.25
C 0.6171 0.7500 0.1017  2 N 1.22-1.25
C 0.8829 0.2500 0.6017  2 N 1.22-1.25
N 0.0818 0.2500 0.6473  1 C 1.22
N 0.1748 0.2500 0.9392  1 C 1.25
N 0.3252 0.7500 0.4392  1 C 1.25
N 0.4182 0.7500 0.1473  1 C 1.22
N 0.5818 0.2500 0.8527  1 C 1.22
N 0.6748 0.2500 0.5608  1 C 1.25
N 0.8252 0.7500 0.0608  1 C 1.25
N 0.9182 0.7500 0.3527  1 C 1.22

---

# BaC2N2O2

A relaxed BaC2N2O2 crystal (GGA-PBEsol, the Alexandria database).

a = 14.1028 Å, b = 14.1028 Å, c = 14.1028 Å
α = 29.14°, β = 29.14°, γ = 29.14°
With the nearest neighbours (Å) after each atom.
Positions (direct):
Ba 0.1499 0.1499 0.1499  6 O 2.79-2.84, 3 N 2.96
Ba 0.2500 0.2500 0.2500  6 O 2.67
Ba 0.3501 0.3501 0.3501  6 O 2.79-2.84, 3 N 2.96
Ba 0.6499 0.6499 0.6499  6 O 2.79-2.84, 3 N 2.96
Ba 0.7500 0.7500 0.7500  6 O 2.67
Ba 0.8501 0.8501 0.8501  6 O 2.79-2.84, 3 N 2.96
C 0.0011 0.7592 0.1266  1 O 1.30, 2 N 1.35-1.36
C 0.1266 0.0011 0.7592  1 O 1.30, 2 N 1.35-1.36
C 0.2408 0.8734 0.9989  1 O 1.30, 2 N 1.35-1.36
C 0.2592 0.5011 0.6266  1 O 1.30, 2 N 1.35-1.36
C 0.3734 0.7408 0.4989  1 O 1.30, 2 N 1.35-1.36
C 0.4989 0.3734 0.7408  1 O 1.30, 2 N 1.35-1.36
C 0.5011 0.6266 0.2592  1 O 1.30, 2 N 1.35-1.36
C 0.6266 0.2592 0.5011  1 O 1.30, 2 N 1.35-1.36
C 0.7408 0.4989 0.3734  1 O 1.30, 2 N 1.35-1.36
C 0.7592 0.1266 0.0011  1 O 1.30, 2 N 1.35-1.36
C 0.8734 0.9989 0.2408  1 O 1.30, 2 N 1.35-1.36
C 0.9989 0.2408 0.8734  1 O 1.30, 2 N 1.35-1.36
N 0.0781 0.8266 0.2099  2 C 1.35-1.36
N 0.1734 0.7901 0.9219  2 C 1.35-1.36
N 0.2099 0.0781 0.8266  2 C 1.35-1.36
N 0.2901 0.6734 0.4219  2 C 1.35-1.36
N 0.3266 0.5781 0.7099  2 C 1.35-1.36
N 0.4219 0.2901 0.6734  2 C 1.35-1.36
N 0.5781 0.7099 0.3266  2 C 1.35-1.36
N 0.6734 0.4219 0.2901  2 C 1.35-1.36
N 0.7099 0.3266 0.5781  2 C 1.35-1.36
N 0.7901 0.9219 0.1734  2 C 1.35-1.36
N 0.8266 0.2099 0.0781  2 C 1.35-1.36
N 0.9219 0.1734 0.7901  2 C 1.35-1.36
O 0.0366 0.5631 0.2916  1 C 1.30
O 0.0631 0.5366 0.7916  1 C 1.30
O 0.2084 0.9369 0.4634  1 C 1.30
O 0.2916 0.0366 0.5631  1 C 1.30
O 0.4369 0.7084 0.9634  1 C 1.30
O 0.4634 0.2084 0.9369  1 C 1.30
O 0.5366 0.7916 0.0631  1 C 1.30
O 0.5631 0.2916 0.0366  1 C 1.30
O 0.7084 0.9634 0.4369  1 C 1.30
O 0.7916 0.0631 0.5366  1 C 1.30
O 0.9369 0.4634 0.2084  1 C 1.30
O 0.9634 0.4369 0.7084  1 C 1.30

---

# Fe2NiAs

A relaxed Fe2NiAs crystal (GGA-PBEsol, the Alexandria database).

Computed properties:
calculated formation energy = -0.053 eV per atom

a = 3.4886 Å, b = 3.4886 Å, c = 3.7937 Å
α = 90.00°, β = 90.00°, γ = 90.00°
With the nearest neighbours (Å) after each atom.
Positions (direct):
Fe 0.0000 0.5000 0.0000  4 Fe 2.47, 4 As 2.58, 4 Ni 2.58
Fe 0.5000 0.0000 0.0000  4 Fe 2.47, 4 As 2.58, 4 Ni 2.58
Ni 0.0000 0.0000 0.5000  4 As 2.47, 8 Fe 2.58
As 0.5000 0.5000 0.5000  4 Ni 2.47, 8 Fe 2.58

---

no.,total DFT energy (no corrections) (eV/f.u.)
1,-36.2
2,-24.5
3,-37.3
4,-13.3
5,-26.2
6,-30.4
7,-58.2
8,-29.4